This record from Alexandria via LeMat-Bulk describes TlSi2BO6 after structural relaxation. The functional is GGA-PBE.

symmetry = No. 15
theoretical density = 4853 kg/m³
volume = 12.57 A^3/atom
formation energy from raw total energies = -2.332 eV per atom

Geometry as extended XYZ:
```
20
Lattice="4.693 -5.321 0.000 4.693 5.321 0.000 -2.227 0.000 5.035" Properties=species:S:1:pos:R:3 pbc="T T T"
Tl 3.023 3.937 3.776
Tl 4.136 -3.937 1.259
Si 0.731 0.914 4.518
Si 1.844 -0.914 2.001
Si 5.314 0.914 3.034
Si 6.428 -0.914 0.517
B 4.136 2.644 1.259
B 3.023 -2.644 3.776
O 2.922 3.500 1.166
O 4.207 1.811 0.038
O 2.368 0.004 0.730
O 1.255 -0.004 3.247
O 5.351 3.500 1.352
O 4.065 1.811 2.480
O 3.094 -1.811 2.555
O 1.808 -3.500 3.683
O 5.904 0.004 1.787
O 4.791 -0.004 4.305
O 2.952 -1.811 4.997
O 4.237 -3.500 3.869
```